Li2Sc2CuSn2Pt: optimized geometry, PBE.

Unit cell a=4.581 b=4.581 c=6.472 alpha=90.00 beta=90.00 gamma=90.00
Positions (direct):
Li 0.000 0.000 0.000
Li 0.500 0.500 0.500
Sc 0.000 0.500 0.750
Sc 0.500 0.000 0.250
Cu 0.000 0.000 0.500
Sn 0.000 0.500 0.262
Sn 0.500 0.000 0.738
Pt 0.500 0.500 0.000

Results
M_tot: 0.0 μB per formula unit
VASP energy: -39.38 eV for the cell shown